The following is a DFT calculation (GGA-PBE) of crystalline Nd2Dy2Er4Tm at its relaxed geometry.

The calculation puts the density of states at the Fermi level at 1.37 states/eV/atom. The formation energy comes out at -0.0010 eV per atom. The magnetic moment is 0.00 μB/f.u. The value obtained for the volume is 31.70 Å³ per atom. The total energy comes out at -82.944 eV per cell.

The structure belongs to space group C2/m (No. 12); the cell edges are 18.5762, 3.5820 and 9.5165 Å and the angles 90.00°, 115.70° and 90.00°. The asymmetric unit holds Nd at (0.1650, 0.0000, 0.4993), Dy at (0.1469, 0.5000, 0.1621), Er at (0.0196, 0.0000, 0.8345), Er at (0.1852, 0.5000, 0.8361) and Tm at (0.0000, 0.5000, 0.5000).